DFT (PBE) results for crystalline NaTl6In5 at its relaxed geometry. Values from VASP.

## Properties
**V**: 28.65 Å³ per atom
**Space-group type**: C2/m (12)
**Calculated density**: 8.808 g/cm³
**Uncorrected energy**: -2.44 eV per atom

The structure in Quantum ESPRESSO input format:
```
&SYSTEM
  ibrav = 0, nat = 12, ntyp = 3
/
ATOMIC_SPECIES
Na 22.99 Na.upf
Tl 204.38 Tl.upf
In 114.82 In.upf
CELL_PARAMETERS angstrom
5.747 -5.125 0.000
5.747 5.125 0.000
-0.998 0.000 5.835
ATOMIC_POSITIONS crystal
Na 0.000 0.000 0.000
Tl 0.082 0.413 0.249
Tl 0.246 0.246 0.747
Tl 0.413 0.082 0.249
Tl 0.587 0.918 0.751
Tl 0.754 0.754 0.253
Tl 0.918 0.587 0.751
In 0.176 0.824 0.500
In 0.340 0.660 0.000
In 0.500 0.500 0.500
In 0.660 0.340 0.000
In 0.824 0.176 0.500
```

=====

DFT (PBE) results for crystalline NaTl7In5 at its relaxed geometry. Values from VASP.

## Properties
**V**: 30.62 Å³ per atom
**Space-group type**: Imm2 (44)
**Energy relative to the lowest polymorph listed for this composition**: 24 meV per atom
**Calculated density**: 8.459 g/cm³
**Uncorrected energy**: -2.41 eV per atom

The structure in Quantum ESPRESSO input format:
```
&SYSTEM
  ibrav = 0, nat = 13, ntyp = 3
/
ATOMIC_SPECIES
Na 22.99 Na.upf
Tl 204.38 Tl.upf
In 114.82 In.upf
CELL_PARAMETERS angstrom
-3.120 5.582 5.714
3.120 -5.582 5.714
3.120 5.582 -5.714
ATOMIC_POSITIONS crystal
Na 0.000 0.000 0.000
Tl 0.224 0.530 0.694
Tl 0.249 0.749 0.500
Tl 0.379 0.030 0.349
Tl 0.380 0.380 0.000
Tl 0.669 0.669 0.000
Tl 0.682 0.030 0.651
Tl 0.836 0.530 0.306
In 0.026 0.031 0.495
In 0.026 0.531 0.995
In 0.535 0.031 0.005
In 0.535 0.531 0.505
In 0.809 0.309 0.500
```

=====

DFT (PBE) results for crystalline Na2Tl3In6 at its relaxed geometry. Values from VASP.

## Properties
**V**: 30.99 Å³ per atom
**Space-group type**: P-62m (189)
**Calculated density**: 6.566 g/cm³
**Uncorrected energy**: -2.37 eV per atom

The structure in Quantum ESPRESSO input format:
```
&SYSTEM
  ibrav = 0, nat = 11, ntyp = 3
/
ATOMIC_SPECIES
Na 22.99 Na.upf
Tl 204.38 Tl.upf
In 114.82 In.upf
CELL_PARAMETERS angstrom
9.020 0.000 0.000
-4.510 7.812 0.000
0.000 0.000 4.838
ATOMIC_POSITIONS crystal
Na 0.333 0.667 0.000
Na 0.667 0.333 0.000
Tl 0.000 0.570 0.500
Tl 0.430 0.430 0.500
Tl 0.570 0.000 0.500
In 0.000 0.235 0.500
In 0.000 0.792 0.000
In 0.208 0.208 0.000
In 0.235 0.000 0.500
In 0.765 0.765 0.500
In 0.792 0.000 0.000
```

=====

DFT (PBE) results for crystalline Na3TlIn8 at its relaxed geometry. Values from VASP.

## Properties
**V**: 28.52 Å³ per atom
**Space-group type**: P3m1 (156)
**Calculated density**: 5.784 g/cm³
**Uncorrected energy**: -2.44 eV per atom

The structure in Quantum ESPRESSO input format:
```
&SYSTEM
  ibrav = 0, nat = 12, ntyp = 3
/
ATOMIC_SPECIES
Na 22.99 Na.upf
Tl 204.38 Tl.upf
In 114.82 In.upf
CELL_PARAMETERS angstrom
6.310 0.000 0.000
-3.155 5.464 0.000
0.000 0.000 9.925
ATOMIC_POSITIONS crystal
Na 0.000 0.000 0.000
Na 0.000 0.000 0.364
Na 0.333 0.667 0.862
Tl 0.333 0.667 0.501
In 0.010 0.505 0.178
In 0.322 0.161 0.681
In 0.495 0.505 0.178
In 0.495 0.990 0.178
In 0.667 0.333 0.429
In 0.667 0.333 0.929
In 0.839 0.161 0.681
In 0.839 0.678 0.681
```

=====

DFT (PBE) results for crystalline Na2Tl9In4 at its relaxed geometry. Values from VASP.

## Properties
**V**: 30.54 Å³ per atom
**Space-group type**: P-1 (2)
**Calculated density**: 8.499 g/cm³
**Uncorrected energy**: -2.35 eV per atom

The structure in Quantum ESPRESSO input format:
```
&SYSTEM
  ibrav = 0, nat = 30, ntyp = 3
/
ATOMIC_SPECIES
Na 22.99 Na.upf
Tl 204.38 Tl.upf
In 114.82 In.upf
CELL_PARAMETERS angstrom
8.875 0.000 0.000
4.429 8.406 0.000
0.010 3.537 12.280
ATOMIC_POSITIONS crystal
Na 0.019 0.032 0.121
Na 0.049 0.967 0.380
Na 0.951 0.033 0.620
Na 0.981 0.968 0.879
Tl 0.014 0.600 0.877
Tl 0.044 0.285 0.719
Tl 0.056 0.658 0.586
Tl 0.286 0.657 0.088
Tl 0.291 0.053 0.955
Tl 0.328 0.716 0.782
Tl 0.345 0.946 0.542
Tl 0.386 0.600 0.375
Tl 0.386 0.999 0.251
Tl 0.614 0.001 0.749
Tl 0.614 0.400 0.625
Tl 0.655 0.054 0.458
Tl 0.672 0.284 0.218
Tl 0.709 0.947 0.045
Tl 0.714 0.343 0.912
Tl 0.944 0.342 0.414
Tl 0.956 0.715 0.281
Tl 0.986 0.400 0.123
In 0.289 0.346 0.298
In 0.314 0.303 0.551
In 0.364 0.347 0.798
In 0.384 0.302 0.051
In 0.616 0.698 0.949
In 0.636 0.653 0.202
In 0.686 0.697 0.449
In 0.711 0.654 0.702
```

=====

DFT (PBE) results for crystalline Na5TlIn2 at its relaxed geometry. Values from VASP.

## Properties
**V**: 28.82 Å³ per atom
**Space-group type**: Pbam (55)
**Energy relative to the lowest polymorph listed for this composition**: 0 meV per atom
**Calculated density**: 3.954 g/cm³
**Uncorrected energy**: -1.86 eV per atom

The structure in Quantum ESPRESSO input format:
```
&SYSTEM
  ibrav = 0, nat = 16, ntyp = 3
/
ATOMIC_SPECIES
Na 22.99 Na.upf
Tl 204.38 Tl.upf
In 114.82 In.upf
CELL_PARAMETERS angstrom
6.686 0.000 0.000
0.000 13.293 0.000
0.000 0.000 5.187
ATOMIC_POSITIONS crystal
Na 0.000 0.000 0.000
Na 0.011 0.256 0.000
Na 0.244 0.875 0.500
Na 0.256 0.375 0.500
Na 0.489 0.756 0.000
Na 0.500 0.500 0.000
Na 0.511 0.244 0.000
Na 0.744 0.625 0.500
Na 0.756 0.125 0.500
Na 0.989 0.744 0.000
Tl 0.000 0.500 0.000
Tl 0.500 0.000 0.000
In 0.236 0.619 0.500
In 0.264 0.119 0.500
In 0.736 0.881 0.500
In 0.764 0.381 0.500
```